*A*
## Nb3TeH (PBE)

Data for a relaxed structure of Nb3TeH.

a b c (Å): 5.078 5.078 5.078
angles (deg): 90.00 90.00 90.00
Space group Pm-3m (No. 221)
Inequivalent atoms, fractional coordinates:
Nb (0.000, 0.000, 0.500)
Te (0.000, 0.000, 0.000)
H (0.500, 0.500, 0.500)

The calculation puts the volume at 26.19 Å³/atom. For the spin magnetization, the calculation gives 0.2 μB/cell.

*B*
## Nb3TeH (PBE)

Data for a relaxed structure of Nb3TeH.

a b c (Å): 4.262 4.262 4.262
angles (deg): 90.00 90.00 90.00
Space group Pm-3m (No. 221)
Inequivalent atoms, fractional coordinates:
Nb (0.000, 0.000, 0.500)
Te (0.500, 0.500, 0.500)
H (0.000, 0.000, 0.000)

The calculation puts the volume at 15.48 Å³/atom. For the spin magnetization, the calculation gives 0.0 μB/cell.

The structure with the least stability is *A*.

*A*
## NbTeH3 (PBE)

Data for a relaxed structure of NbTeH3.

a b c (Å): 3.861 3.861 3.861
angles (deg): 90.00 90.00 90.00
Space group Pm-3m (No. 221)
Inequivalent atoms, fractional coordinates:
Nb (0.000, 0.000, 0.000)
Te (0.500, 0.500, 0.500)
H (0.000, 0.500, 0.500)

The calculation puts the volume at 11.51 Å³/atom. For the spin magnetization, the calculation gives 0.0 μB/cell.

*B*
## NbTeH3 (PBE)

Data for a relaxed structure of NbTeH3.

a b c (Å): 3.805 3.805 3.805
angles (deg): 90.00 90.00 90.00
Space group Pm-3m (No. 221)
Inequivalent atoms, fractional coordinates:
Nb (0.000, 0.000, 0.000)
Te (0.500, 0.500, 0.500)
H (0.000, 0.000, 0.500)

The calculation puts the volume at 11.02 Å³/atom. For the spin magnetization, the calculation gives 0.0 μB/cell.

The structure with the least stability is *A*.

*A*
## Ti2NbH2 (PBE)

Data for a relaxed structure of Ti2NbH2.

a b c (Å): 4.880 5.110 5.583
angles (deg): 111.45 100.98 111.77
Space group P-1 (No. 2)
Inequivalent atoms, fractional coordinates:
Ti (0.009, 0.020, 0.259)
Ti (0.336, 0.653, 0.243)
Nb (0.342, 0.666, 0.747)
H (0.079, 0.748, 0.963)
H (0.261, 0.928, 0.539)

The calculation puts the volume at 11.15 Å³/atom. For the spin magnetization, the calculation gives 0.0 μB/cell.

*B*
## Ti2NbH2 (PBE)

Data for a relaxed structure of Ti2NbH2.

a b c (Å): 3.287 3.287 10.397
angles (deg): 90.00 90.00 90.00
Space group I4/mmm (No. 139)
Inequivalent atoms, fractional coordinates:
Ti (0.000, 0.000, 0.154)
Nb (0.000, 0.000, 0.500)
H (0.000, 0.500, 0.250)

The calculation puts the volume at 11.23 Å³/atom. For the spin magnetization, the calculation gives 0.0 μB/cell.

The structure with the least stability is *A*.

*A*
## TiNbH2 (PBE)

Data for a relaxed structure of TiNbH2.

a b c (Å): 3.0493 3.0493 14.3857
angles (deg): 90.00 90.00 120.00
Space group R-3m (No. 166, hexagonal axes)
Inequivalent atoms, fractional coordinates:
Ti (0.0000, 0.0000, 0.0000)
Nb (0.0000, 0.0000, 0.5000)
H (0.0000, 0.0000, 0.2498)

The calculation puts the volume at 9.65 Å³/atom. For the spin magnetization, the calculation gives 0.0 μB/cell.

*B*
## TiNbH2 (PBE)

Data for a relaxed structure of TiNbH2.

a b c (Å): 5.414 5.414 5.414
angles (deg): 90.00 90.00 90.00
Space group Fm-3m (No. 225)
Inequivalent atoms, fractional coordinates:
Ti (0.000, 0.000, 0.000)
Nb (0.000, 0.000, 0.500)
H (0.250, 0.250, 0.250)

The calculation puts the volume at 9.92 Å³/atom. For the spin magnetization, the calculation gives 0.0 μB/cell.

The structure with the least stability is *B*.